Computed, not measured: a relaxed Cd2H2Rh crystal at the PBE-GGA level of DFT.

Geometry as POSCAR:
```
Cd2H2Rh
1.0
5.537 0.000 0.000
0.000 5.537 0.000
0.000 0.000 4.235
Cd H Rh
4 4 2
Direct
0.193 0.307 0.000 Cd
0.307 0.807 0.000 Cd
0.693 0.193 0.000 Cd
0.807 0.693 0.000 Cd
0.249 0.749 0.500 H
0.251 0.249 0.500 H
0.749 0.751 0.500 H
0.751 0.251 0.500 H
0.000 0.000 0.500 Rh
0.500 0.500 0.500 Rh
```

Output
Electronic total energy = -30.8 eV for the cell shown



Computed, not measured: a relaxed SmDyAlOs crystal at the PBE-GGA level of DFT.

Geometry as POSCAR:
```
SmDyAlOs
1.0
0.000 3.534 3.534
3.534 0.000 3.534
3.534 3.534 0.000
Sm Dy Al Os
1 1 1 1
Direct
0.000 0.000 0.000 Sm
0.500 0.500 0.500 Dy
0.750 0.750 0.750 Al
0.250 0.250 0.250 Os
```

Output
Energy relative to the elements = -198.6 meV per atom



Computed, not measured: a relaxed ScIr2Ru crystal at the PBE-GGA level of DFT.

Geometry as POSCAR:
```
ScIr2Ru
1.0
4.620 -1.414 0.000
4.620 1.414 0.000
-0.866 0.000 4.734
Sc Ir Ru
1 2 1
Direct
0.000 0.000 0.000 Sc
0.246 0.246 0.750 Ir
0.500 0.500 0.493 Ir
0.759 0.759 0.288 Ru
```

Output
Energy relative to the elements = -362.4 meV per atom



Computed, not measured: a relaxed MgAsCl crystal at the PBE-GGA level of DFT.

Geometry as POSCAR:
```
MgAsCl
1.0
-1.543 1.543 7.859
1.543 -1.543 7.859
1.543 1.543 -7.859
Mg As Cl
1 1 1
Direct
0.000 0.000 0.000 Mg
0.370 0.370 0.000 As
0.592 0.592 0.000 Cl
```

Output
Electronic total energy = -10.1 eV for the cell shown



Computed, not measured: a relaxed Cs2Rb2Ge3 crystal at the PBE-GGA level of DFT.

Geometry as POSCAR:
```
Cs2Rb2Ge3
1.0
6.702 -3.116 0.000
6.702 3.116 0.000
-4.357 0.000 6.536
Cs Rb Ge
2 2 3
Direct
0.171 0.171 0.034 Cs
0.829 0.829 0.966 Cs
0.155 0.155 0.512 Rb
0.845 0.845 0.488 Rb
0.482 0.482 0.826 Ge
0.500 0.500 0.500 Ge
0.518 0.518 0.174 Ge
```

Output
Energy relative to the elements = 11.7 meV per atom



Computed, not measured: a relaxed Na2SnRhO4 crystal at the PBE-GGA level of DFT.

Geometry as POSCAR:
```
Na2SnRhO4
1.0
-2.963 2.963 3.179
2.963 -2.963 3.179
2.963 2.963 -3.179
Na Sn Rh O
2 1 1 4
Direct
0.000 0.000 0.000 Na
0.750 0.250 0.500 Na
0.250 0.750 0.500 Sn
0.500 0.500 0.000 Rh
0.241 0.706 0.864 O
0.294 0.158 0.535 O
0.623 0.759 0.465 O
0.842 0.377 0.136 O
```

Output
Electronic total energy = -43.1 eV for the cell shown



Computed, not measured: a relaxed AgSb crystal at the PBE-GGA level of DFT.

Geometry as POSCAR:
```
AgSb
1.0
5.714 0.000 0.000
0.000 5.714 0.000
0.000 0.000 5.714
Ag Sb
4 4
Direct
0.088 0.412 0.588 Ag
0.412 0.588 0.088 Ag
0.588 0.088 0.412 Ag
0.912 0.912 0.912 Ag
0.095 0.905 0.405 Sb
0.405 0.095 0.905 Sb
0.595 0.595 0.595 Sb
0.905 0.405 0.095 Sb
```

Output
Electronic total energy = -26.2 eV for the cell shown



Computed, not measured: a relaxed KLa2HgF crystal at the PBE-GGA level of DFT.

Geometry as POSCAR:
```
KLa2HgF
1.0
5.011 0.000 0.000
0.000 5.011 0.000
0.000 0.000 6.552
K La Hg F
1 2 1 1
Direct
0.000 0.000 0.000 K
0.000 0.500 0.500 La
0.500 0.000 0.500 La
0.500 0.500 0.000 Hg
0.500 0.500 0.500 F
```

Output
Electronic total energy = -17.2 eV for the cell shown



Computed, not measured: a relaxed Ca3Si2Pd crystal at the PBE-GGA level of DFT.

Geometry as POSCAR:
```
Ca3Si2Pd
1.0
11.710 0.000 0.000
0.000 4.321 0.000
0.000 0.000 11.796
Ca Si Pd
12 8 4
Direct
0.061 0.250 0.116 Ca
0.118 0.750 0.556 Ca
0.199 0.250 0.804 Ca
0.301 0.750 0.304 Ca
0.382 0.250 0.056 Ca
0.439 0.750 0.616 Ca
0.561 0.250 0.384 Ca
0.618 0.750 0.944 Ca
0.699 0.250 0.696 Ca
0.801 0.750 0.196 Ca
0.882 0.250 0.444 Ca
0.939 0.750 0.884 Ca
0.038 0.750 0.307 Si
0.204 0.750 0.988 Si
0.296 0.250 0.488 Si
0.462 0.250 0.807 Si
0.538 0.750 0.193 Si
0.704 0.750 0.512 Si
0.796 0.250 0.012 Si
0.962 0.250 0.693 Si
0.126 0.250 0.363 Pd
0.374 0.750 0.863 Pd
0.626 0.250 0.137 Pd
0.874 0.750 0.637 Pd
```

Output
Electronic total energy = -101.5 eV for the cell shown



Computed, not measured: a relaxed Nb3GeC crystal at the PBE-GGA level of DFT.

Geometry as POSCAR:
```
Nb3GeC
1.0
3.454 0.000 0.000
0.000 5.675 0.000
0.000 0.000 7.852
Nb Ge C
6 2 2
Direct
0.250 0.002 0.149 Nb
0.250 0.498 0.149 Nb
0.250 0.750 0.598 Nb
0.750 0.250 0.402 Nb
0.750 0.502 0.851 Nb
0.750 0.998 0.851 Nb
0.250 0.250 0.655 Ge
0.750 0.750 0.345 Ge
0.250 0.750 0.904 C
0.750 0.250 0.096 C
```

Output
Energy relative to the elements = -265.9 meV per atom



Computed, not measured: a relaxed TcPbCl2 crystal at the PBE-GGA level of DFT.

Geometry as POSCAR:
```
TcPbCl2
1.0
4.600 0.000 0.000
0.000 4.600 0.000
0.000 0.000 4.307
Tc Pb Cl
1 1 2
Direct
0.000 0.000 0.000 Tc
0.500 0.500 0.000 Pb
0.000 0.500 0.500 Cl
0.500 0.000 0.500 Cl
```

Output
Electronic total energy = -16.2 eV for the cell shown



Computed, not measured: a relaxed Nd2Ho3ErAs6 crystal at the PBE-GGA level of DFT.

Geometry as POSCAR:
```
Nd2Ho3ErAs6
1.0
9.055 -2.079 0.000
9.055 2.079 0.000
-1.904 0.000 8.088
Nd Ho Er As
2 3 1 6
Direct
0.166 0.166 0.332 Nd
0.834 0.834 0.668 Nd
0.167 0.167 0.834 Ho
0.500 0.500 0.500 Ho
0.833 0.833 0.166 Ho
0.500 0.500 0.000 Er
0.003 0.003 0.753 As
0.334 0.334 0.924 As
0.336 0.336 0.411 As
0.664 0.664 0.589 As
0.666 0.666 0.076 As
0.997 0.997 0.247 As
```

Output
Energy relative to the elements = -1511.2 meV per atom



no.,N(E_F) (states/eV/cell)
1,4.3
2,1.5
3,3.5
4,1.2
5,2.0
6,7.3
7,4.1
8,7.6
9,16.9
10,5.9
11,1.5
12,1.8